The following is a DFT calculation (GGA-PBE) of a relaxed structure of Be2HgSb2.

```
Be2HgSb2
1.0
-1.724 1.724 10.277
1.724 -1.724 10.277
1.724 1.724 -10.277
Be Hg Sb
2 1 2
Direct
0.250 0.750 0.500
0.750 0.250 0.500
0.000 0.000 0.000
0.341 0.341 0.000
0.659 0.659 0.000
```

Output
As for the density: 6.28 g cm⁻³. As for the formation energy without anion corrections: 0.164 eV per atom. As for the raw total energy: -15.18 eV per cell. Its space group is I4/mmm.